SiSe2Br PBEsol optimized geometry; final energy = -3.31 eV per atom; M_tot = 0.0 μB per formula unit; SG = Fm-3m, No. 225; ΔE_f (raw) = 518 meV per atom
1.0
4.778 0.000 0.000
2.389 4.138 0.000
2.389 1.379 3.901
Si Se Br
1 2 1
direct
0.500 0.500 0.500
0.250 0.250 0.250
0.750 0.750 0.750
0.000 0.000 0.000

***

Y2ZrCu PBEsol optimized geometry; final energy = -6.80 eV per atom; M_tot = 0.0 μB per formula unit; formation energy = -0.029 eV per atom; SG = P4mm, No. 99
1.0
-1.956 -2.401 1.275
0.920 -2.062 -2.474
6.354 -2.719 4.628
Cu Y Zr
1 2 1
direct
0.500 0.500 0.723
0.500 0.500 0.280
0.000 0.000 0.948
0.000 0.000 0.550

***

Rb2Li2Cd PBEsol optimized geometry; final energy = -1.32 eV per atom; M_tot = 0.0 μB per formula unit; formation energy = 0.114 eV per atom; SG = P4/mbm, No. 127
1.0
6.208 0.000 0.000
0.000 7.808 0.000
0.000 0.000 7.808
Li Rb Cd
4 4 2
direct
0.000 0.852 0.648
0.000 0.148 0.352
0.000 0.648 0.148
0.000 0.352 0.852
0.500 0.690 0.810
0.500 0.310 0.190
0.500 0.190 0.690
0.500 0.810 0.310
0.000 0.500 0.500
0.000 0.000 0.000

***

Tl2SiPt PBEsol optimized geometry; final energy = -4.10 eV per atom; M_tot = 0.0 μB per formula unit; SG = I4/mmm, No. 139; ΔE_f (raw) = 389 meV per atom
1.0
-3.128 -3.025 0.954
4.746 -1.818 -0.603
2.163 -1.055 3.749
Si Tl Pt
1 2 1
direct
0.000 0.000 0.000
0.250 0.500 0.250
0.750 0.500 0.750
0.500 0.000 0.500

***

MnTc5 PBEsol optimized geometry; final energy = -10.97 eV per atom; M_tot = 0.0 μB per formula unit; formation energy = 0.046 eV per atom; SG = Amm2, No. 38
1.0
-0.033 1.166 -2.424
-0.765 -3.816 -1.826
-6.833 0.497 1.823
Tc Mn
5 1
direct
0.338 0.000 0.676
0.662 0.000 0.323
0.553 0.500 0.105
0.223 0.500 0.445
0.891 0.500 0.782
0.001 0.000 0.002

***

HoAgW2O8 PBEsol optimized geometry; final energy = -8.74 eV per atom; M_tot = 0.0 μB per formula unit; SG = C2/m, No. 12; ΔE_f (raw) = -2249 meV per atom
1.0
-0.604 -6.183 3.527
1.729 -0.726 -7.011
5.940 3.819 1.676
O Ho W Ag
16 2 4 2
direct
0.650 0.217 0.684
0.092 0.038 0.302
0.092 0.302 0.038
0.759 0.104 0.352
0.908 0.698 0.962
0.859 0.554 0.554
0.650 0.684 0.217
0.350 0.783 0.316
0.350 0.316 0.783
0.141 0.446 0.446
0.759 0.352 0.104
0.241 0.896 0.648
0.241 0.648 0.896
0.339 0.023 0.023
0.908 0.962 0.698
0.661 0.977 0.977
0.000 0.307 0.693
0.000 0.693 0.307
0.500 0.835 0.165
0.975 0.210 0.210
0.025 0.790 0.790
0.500 0.165 0.835
0.480 0.315 0.315
0.520 0.685 0.685